one | DFT (PBE) results for a relaxed Ho4NiSb crystal.

Unit cell a=6.009 b=6.530 c=8.544 alpha=90.00 beta=109.99 gamma=90.00
Positions (direct):
Ho 0.989 0.001 0.293
Ho 0.562 0.250 0.412
Sb 0.210 0.250 0.048
Ho 0.601 0.250 0.877
Ni 0.250 0.250 0.565
Ho 0.011 0.999 0.707
Ho 0.989 0.499 0.293
Ni 0.750 0.750 0.435
Sb 0.790 0.750 0.952
Ho 0.011 0.501 0.707
Ho 0.399 0.750 0.123
Ho 0.438 0.750 0.588

mass density = 8.9 g/cm3
total magnetic moment = 0.00 μB/f.u.

=====

two | DFT (PBE) results for a relaxed Ho4NiSb crystal.

Unit cell a=6.105 b=7.325 c=8.203 alpha=105.77 beta=111.84 gamma=90.00
Positions (direct):
Ho 0.727 0.855 0.647
Ni 0.500 0.500 0.500
Ho 0.527 0.548 0.832
Ho 0.473 0.452 0.168
Ho 0.305 0.048 0.832
Sb 0.868 0.250 0.000
Ni 0.000 0.000 0.500
Ho 0.273 0.145 0.353
Ho 0.695 0.952 0.168
Sb 0.132 0.750 0.000
Ho 0.081 0.645 0.353
Ho 0.919 0.355 0.647

mass density = 8.6 g/cm3
total magnetic moment = 0.00 μB/f.u.

=====

Which of them is the most stable, and which is the least stable? one and two, in that order.

=====

one | DFT (PBE) results for a relaxed HoScNi2 crystal.

Unit cell a=4.626 b=4.626 c=4.626 alpha=60.00 beta=60.00 gamma=60.00
Positions (direct):
Ho 0.000 0.000 0.000
Ni 0.750 0.750 0.750
Ni 0.250 0.250 0.250
Sc 0.500 0.500 0.500

mass density = 7.8 g/cm3
total magnetic moment = 0.00 μB/f.u.

=====

two | DFT (PBE) results for a relaxed HoScNi2 crystal.

Unit cell a=3.599 b=4.106 c=5.252 alpha=90.00 beta=110.11 gamma=90.00
Positions (direct):
Ni 0.159 0.500 0.857
Sc 0.720 0.000 0.978
Ni 0.013 0.000 0.566
Ho 0.439 0.500 0.417

mass density = 7.5 g/cm3
total magnetic moment = 0.00 μB/f.u.

=====

Which of them is the most stable, and which is the least stable? two and one, in that order.

=====

one | DFT (PBE) results for a relaxed Ho2Sc3Ni2 crystal.

Unit cell a=4.484 b=5.756 c=7.091 alpha=112.87 beta=90.00 gamma=112.92
Positions (direct):
Sc 0.642 0.283 0.461
Sc 0.500 0.000 0.000
Sc 0.358 0.717 0.539
Ni 0.131 0.263 0.206
Ho 0.140 0.280 0.804
Ho 0.860 0.720 0.196
Ni 0.869 0.737 0.794

mass density = 6.3 g/cm3
total magnetic moment = 0.00 μB/f.u.

=====

two | DFT (PBE) results for a relaxed Ho2Sc3Ni2 crystal.

Unit cell a=3.423 b=6.018 c=8.203 alpha=71.97 beta=77.96 gamma=73.48
Positions (direct):
Sc 0.383 0.803 0.431
Ho 0.161 0.483 0.196
Ni 0.834 0.096 0.236
Sc 0.500 0.000 0.000
Ho 0.839 0.517 0.804
Ni 0.166 0.904 0.764
Sc 0.617 0.197 0.569

mass density = 6.3 g/cm3
total magnetic moment = 0.00 μB/f.u.

=====

Which of them is the most stable, and which is the least stable? two and one, in that order.

=====

one | DFT (PBE) results for a relaxed HoSc2Ni crystal.

Unit cell a=3.595 b=3.595 c=8.669 alpha=78.03 beta=78.03 gamma=60.00
Positions (direct):
Ni 0.666 0.666 0.003
Ho 0.502 0.502 0.495
Sc 0.058 0.058 0.826
Sc 0.274 0.274 0.177

mass density = 5.5 g/cm3
total magnetic moment = 0.00 μB/f.u.

=====

two | DFT (PBE) results for a relaxed HoSc2Ni crystal.

Unit cell a=5.987 b=6.494 c=9.148 alpha=90.00 beta=90.00 gamma=90.00
Positions (direct):
Ho 0.871 0.022 0.250
Sc 0.320 0.175 0.437
Sc 0.320 0.175 0.063
Sc 0.180 0.675 0.437
Sc 0.180 0.675 0.063
Ni 0.570 0.106 0.750
Ni 0.930 0.606 0.750
Ni 0.430 0.894 0.250
Sc 0.680 0.825 0.563
Ho 0.629 0.522 0.250
Sc 0.820 0.325 0.937
Ho 0.371 0.478 0.750
Sc 0.820 0.325 0.563
Ho 0.129 0.978 0.750
Sc 0.680 0.825 0.937
Ni 0.070 0.394 0.250

mass density = 5.9 g/cm3
total magnetic moment = 0.00 μB/f.u.

=====

Which of them is the most stable, and which is the least stable? two and one, in that order.

=====

one | DFT (PBE) results for a relaxed HoSc2Ni crystal.

Unit cell a=3.246 b=3.246 c=8.250 alpha=90.00 beta=90.00 gamma=90.00
Positions (direct):
Ni 0.500 0.500 0.000
Sc 0.000 0.000 0.816
Ho 0.500 0.500 0.500
Sc 0.000 0.000 0.184

mass density = 6.0 g/cm3
total magnetic moment = 0.00 μB/f.u.

=====

two | DFT (PBE) results for a relaxed HoSc2Ni crystal.

Unit cell a=4.519 b=5.961 c=7.099 alpha=90.00 beta=90.00 gamma=112.32
Positions (direct):
Ho 0.952 0.904 0.250
Sc 0.657 0.314 0.038
Sc 0.657 0.314 0.462
Ho 0.048 0.096 0.750
Ni 0.199 0.397 0.250
Sc 0.343 0.686 0.538
Ni 0.801 0.603 0.750
Sc 0.343 0.686 0.962

mass density = 5.9 g/cm3
total magnetic moment = 0.00 μB/f.u.

=====

Which of them is the most stable, and which is the least stable? two and one, in that order.

=====

one | DFT (PBE) results for a relaxed HoSc3Ni8 crystal.

Unit cell a=4.925 b=4.925 c=8.558 alpha=73.28 beta=73.28 gamma=60.00
Positions (direct):
Ni 0.688 0.688 0.937
Ni 0.187 0.187 0.438
Sc 0.002 0.002 0.993
Ho 0.876 0.876 0.372
Ni 0.435 0.937 0.691
Sc 0.497 0.497 0.509
Ni 0.937 0.937 0.691
Ni 0.439 0.439 0.183
Sc 0.374 0.374 0.879
Ni 0.937 0.435 0.691
Ni 0.939 0.439 0.183
Ni 0.439 0.939 0.183

mass density = 7.5 g/cm3
total magnetic moment = 0.00 μB/f.u.

=====

two | DFT (PBE) results for a relaxed HoSc3Ni8 crystal.

Unit cell a=4.942 b=4.942 c=8.045 alpha=90.00 beta=90.00 gamma=120.00
Positions (direct):
Ni 0.502 0.498 0.754
Ni 0.997 0.498 0.754
Ni 0.166 0.834 0.247
Sc 0.000 0.000 0.944
Ni 0.166 0.332 0.247
Sc 0.667 0.333 0.427
Sc 0.667 0.333 0.060
Ho 0.000 0.000 0.566
Ni 0.502 0.003 0.754
Ni 0.668 0.834 0.247
Ni 0.333 0.667 0.500
Ni 0.333 0.667 0.000

mass density = 7.5 g/cm3
total magnetic moment = 0.00 μB/f.u.

=====

Which of them is the most stable, and which is the least stable? one and two, in that order.

=====

one | DFT (PBE) results for a relaxed Ho2Si3Ni2 crystal.

Unit cell a=3.983 b=5.360 c=6.335 alpha=114.15 beta=90.00 gamma=111.81
Positions (direct):
Si 0.387 0.774 0.561
Si 0.500 0.000 0.000
Ho 0.851 0.702 0.220
Ni 0.138 0.276 0.246
Si 0.613 0.226 0.439
Ho 0.149 0.298 0.780
Ni 0.862 0.724 0.754

mass density = 7.8 g/cm3
total magnetic moment = 0.00 μB/f.u.

=====

two | DFT (PBE) results for a relaxed Ho2Si3Ni2 crystal.

Unit cell a=4.062 b=6.578 c=8.847 alpha=90.00 beta=103.27 gamma=90.00
Positions (direct):
Ho 0.158 0.250 0.317
Si 0.436 0.567 0.872
Ni 0.305 0.054 0.611
Si 0.564 0.433 0.128
Ho 0.053 0.750 0.105
Ho 0.947 0.250 0.895
Ho 0.842 0.750 0.683
Si 0.436 0.933 0.872
Si 0.223 0.750 0.446
Si 0.777 0.250 0.554
Ni 0.305 0.446 0.611
Si 0.564 0.067 0.128
Ni 0.695 0.554 0.389
Ni 0.695 0.946 0.389

mass density = 7.7 g/cm3
total magnetic moment = 0.00 μB/f.u.

=====

Which of them is the most stable, and which is the least stable? two and one, in that order.

=====

one | DFT (PBE) results for a relaxed TbHoSiNi crystal.

Unit cell a=3.972 b=4.046 c=5.653 alpha=90.00 beta=110.57 gamma=90.00
Positions (direct):
Si 0.569 0.500 0.137
Ni 0.434 0.000 0.868
Ho 0.139 0.000 0.278
Tb 0.859 0.500 0.717

mass density = 8.0 g/cm3
total magnetic moment = 0.00 μB/f.u.

=====

two | DFT (PBE) results for a relaxed TbHoSiNi crystal.

Unit cell a=4.887 b=4.887 c=4.887 alpha=60.00 beta=60.00 gamma=60.00
Positions (direct):
Tb 0.500 0.500 0.500
Si 0.250 0.250 0.250
Ni 0.750 0.750 0.750
Ho 0.000 0.000 0.000

mass density = 8.3 g/cm3
total magnetic moment = 0.00 μB/f.u.

=====

Which of them is the most stable, and which is the least stable? one and two, in that order.